DFT (PBE) results for LiTi4O8 after structural relaxation.

Cell: 5.976 5.976 5.976 Å, 60.00 60.00 60.00°
Fractional coordinates of all 13 atoms:
1 Ti 0.374 0.879 0.374
2 Ti 0.374 0.374 0.879
3 Ti 0.879 0.374 0.374
4 Ti 0.374 0.374 0.374
5 O 0.165 0.612 0.612
6 O 0.612 0.165 0.612
7 O 0.140 0.140 0.140
8 O 0.140 0.579 0.140
9 O 0.579 0.140 0.140
10 O 0.612 0.612 0.612
11 O 0.612 0.612 0.165
12 O 0.140 0.140 0.579
13 Li 0.750 0.750 0.750

Properties
E, eV/atom: -8.507
Formation energy without anion corrections, eV/atom: -2.88
Polymorph energy (0 for the lowest one), meV/atom: 24